(1)
NpSi2Ir after structural relaxation. Source: Alexandria, functional GGA-PBE.

Space group = R-3m
E = -8.708 eV per atom
Size of the total moment = 3.75 μB per formula unit
N(E_F) = 2.3232 states/eV/atom

Structure (POSCAR):
```
NpSi2Ir
1.0
-3.289 -0.916 -2.214
-3.537 -0.798 1.846
-3.461 4.196 -0.334
Si Np Ir
2 1 1
Cartesian
-7.590 1.357 -0.505
-2.697 1.125 -0.198
0.000 0.000 0.000
-5.144 1.241 -0.351
```



(2)
Np2Si2Ir3 after structural relaxation. Source: Alexandria, functional GGA-PBE.

Space group = Cmmm
E = -9.394 eV per atom
Size of the total moment = 5.93 μB per formula unit
N(E_F) = 1.9108 states/eV/atom

Structure (POSCAR):
```
Np2Si2Ir3
1.0
4.145 0.000 1.013
0.000 3.106 0.000
-0.152 0.000 9.602
Np Si Ir
2 2 3
Cartesian
3.486 1.553 3.711
0.508 1.553 6.904
1.773 0.000 1.731
2.220 0.000 8.884
0.000 0.000 0.000
2.815 0.000 6.452
1.179 0.000 4.163
```



(3)
Np2Si5Ir after structural relaxation. Source: Alexandria, functional GGA-PBE.

Space group = I4mm
E = -8.023 eV per atom
Size of the total moment = 8.00 μB per formula unit
N(E_F) = 2.1190 states/eV/atom

Structure (POSCAR):
```
Np2Si5Ir
1.0
5.846 0.000 0.000
0.000 5.846 0.000
-2.923 -2.923 4.192
Si Np Ir
5 2 1
Cartesian
4.151 4.151 0.055
1.695 1.695 0.054
2.923 2.923 1.869
1.695 4.151 0.054
4.151 1.695 0.054
2.923 0.000 2.208
0.000 2.923 2.208
0.000 0.000 0.012
```



(4)
Np2Si7Ir12 after structural relaxation. Source: Alexandria, functional GGA-PBE.

Space group = P-6
E = -8.778 eV per atom
Size of the total moment = 6.65 μB per formula unit
N(E_F) = 1.1537 states/eV/atom

Structure (POSCAR):
```
Np2Si7Ir12
1.0
3.868 0.000 0.000
0.000 8.479 -4.895
0.000 0.000 9.791
Np Si Ir
2 7 12
Cartesian
1.934 0.000 0.000
0.000 5.653 0.000
0.000 6.248 5.749
1.934 3.780 -1.489
1.934 7.879 -0.878
0.000 2.826 4.895
0.000 1.854 1.505
1.934 5.300 2.367
0.000 0.376 7.432
0.000 8.088 -2.506
1.934 6.062 -2.417
1.934 3.355 0.854
1.934 7.541 1.563
1.934 1.632 3.077
1.934 4.998 4.770
1.934 1.849 6.839
0.000 2.265 -0.856
0.000 3.863 2.834
0.000 6.605 3.362
0.000 4.093 6.823
0.000 0.523 5.028
```



(5)
Np4Si6Ir7 after structural relaxation. Source: Alexandria, functional GGA-PBE.

Space group = Im-3m
E = -9.230 eV per atom
Size of the total moment = 13.30 μB per formula unit
N(E_F) = 1.4814 states/eV/atom

Structure (POSCAR):
```
Np4Si6Ir7
1.0
-0.403 -6.672 2.637
6.893 1.969 -0.492
-3.475 4.518 4.375
Ir Si Np
7 6 4
Cartesian
0.000 0.000 0.000
4.100 -0.730 2.043
-0.316 -2.253 4.042
3.331 2.068 2.478
0.739 2.705 3.695
-1.085 0.545 4.477
2.276 -2.890 2.825
-2.637 -1.465 4.768
1.094 2.076 1.243
4.413 -3.198 1.458
2.077 -1.505 0.686
-1.241 -0.689 2.244
2.324 4.411 2.641
1.508 -0.092 3.260
3.447 0.985 -0.246
-0.201 -3.336 1.318
-1.738 2.259 2.188
```



(6)
NpSi7Ir3 after structural relaxation. Source: Alexandria, functional GGA-PBE.

Space group = R-3c
E = -7.583 eV per atom
Size of the total moment = 3.99 μB per formula unit
N(E_F) = 0.9137 states/eV/atom

Structure (POSCAR):
```
NpSi7Ir3
1.0
6.759 0.000 3.640
2.399 6.318 3.640
0.039 0.027 8.022
Si Ir Np
14 6 2
Cartesian
2.299 1.586 3.825
1.812 2.083 6.477
4.913 5.229 5.320
6.684 0.954 8.681
4.725 0.436 5.970
7.150 4.100 6.106
5.425 2.737 4.670
4.284 1.117 9.981
2.047 2.245 9.196
7.385 4.262 8.825
2.513 5.391 6.621
6.898 4.759 11.476
4.472 5.910 9.331
3.772 3.609 10.632
2.278 4.759 8.989
6.138 2.759 10.324
6.078 5.905 7.465
3.119 0.441 7.836
6.918 1.586 6.313
3.059 3.586 4.978
0.000 0.000 0.000
4.598 3.173 7.651
```



- Among the records above, which one has the highest N(E_F)?
  NpSi2Ir